DFT (PBE+U) results for a relaxed NiP5O14 crystal.

a b c (Å): 9.7871 8.2738 15.5133
angles (deg): 90.00 122.06 90.00
Element x y z (fractional)
1 Ni 0.2027 0.2082 0.0014
2 Ni 0.2027 0.2918 0.5014
3 Ni 0.7973 0.7082 0.4986
4 Ni 0.7973 0.7918 0.9986
5 P 0.0603 0.2225 0.6465
6 P 0.0603 0.2775 0.1465
7 P 0.1496 0.5591 0.6417
8 P 0.1496 0.9409 0.1417
9 P 0.2740 0.5962 0.9661
10 P 0.2740 0.9038 0.4661
11 P 0.3033 0.0678 0.8374
12 P 0.3033 0.4322 0.3374
13 P 0.4022 0.7258 0.8372
14 P 0.4022 0.7742 0.3372
15 P 0.5978 0.2258 0.6628
16 P 0.5978 0.2742 0.1628
17 P 0.6967 0.5678 0.6626
18 P 0.6967 0.9322 0.1626
19 P 0.7260 0.0962 0.5339
20 P 0.7260 0.4038 0.0339
21 P 0.8504 0.0591 0.8583
22 P 0.8504 0.4409 0.3583
23 P 0.9397 0.7225 0.8535
24 P 0.9397 0.7775 0.3535
25 O 0.0275 0.6849 0.6219
26 O 0.0275 0.8151 0.1219
27 O 0.1094 0.1670 0.5765
28 O 0.1094 0.3330 0.0765
29 O 0.1102 0.1003 0.1893
30 O 0.1102 0.3997 0.6893
31 O 0.1219 0.1170 0.7452
32 O 0.1219 0.3830 0.2452
33 O 0.1285 0.7231 0.8994
34 O 0.1285 0.7769 0.3994
35 O 0.1832 0.5063 0.5631
36 O 0.1832 0.9937 0.0631
37 O 0.2137 0.0736 0.4386
38 O 0.2137 0.4264 0.9386
39 O 0.2879 0.6220 0.3043
40 O 0.2879 0.8780 0.8043
41 O 0.3084 0.0820 0.9349
42 O 0.3084 0.4180 0.4349
43 O 0.3195 0.6096 0.7436
44 O 0.3195 0.8904 0.2436
45 O 0.3657 0.6339 0.0784
46 O 0.3657 0.8661 0.5784
47 O 0.3883 0.6400 0.9240
48 O 0.3883 0.8600 0.4240
49 O 0.4289 0.1482 0.8240
50 O 0.4288 0.2420 0.1281
51 O 0.4288 0.2580 0.6281
52 O 0.4289 0.3518 0.3240
53 O 0.5711 0.6482 0.6760
54 O 0.5712 0.7420 0.3719
55 O 0.5712 0.7580 0.8719
56 O 0.5711 0.8518 0.1760
57 O 0.6117 0.1400 0.5760
58 O 0.6117 0.3600 0.0760
59 O 0.6343 0.1339 0.4216
60 O 0.6343 0.3661 0.9216
61 O 0.6805 0.1096 0.7564
62 O 0.6805 0.3904 0.2564
63 O 0.6916 0.5820 0.5651
64 O 0.6916 0.9180 0.0651
65 O 0.7121 0.1220 0.1957
66 O 0.7121 0.3780 0.6957
67 O 0.7863 0.5736 0.0614
68 O 0.7863 0.9264 0.5614
69 O 0.8168 0.0063 0.9369
70 O 0.8168 0.4937 0.4369
71 O 0.8715 0.2231 0.6006
72 O 0.8715 0.2769 0.1006
73 O 0.8781 0.6170 0.7548
74 O 0.8781 0.8830 0.2548
75 O 0.8898 0.6003 0.3107
76 O 0.8898 0.8997 0.8107
77 O 0.8906 0.6670 0.9235
78 O 0.8906 0.8330 0.4235
79 O 0.9725 0.1849 0.8781
80 O 0.9725 0.3151 0.3781

Values from the calculation:
uncorrected energy: -544.75 eV for the cell shown
crystal system: monoclinic
space group: P2_1/c